VASP calculation (GGA-PBE) on Tm2Ni2Hg3 after structural relaxation.

space-group type: Cmmm
size of the total moment: 0.00 μB/cell
ΔE_f: -0.3948 eV/atom

Unit cell a=3.646 b=3.950 c=10.310 alpha=101.04 beta=90.00 gamma=90.00
Sites, in units of the cell vectors:
Ni1 0.500 0.716 0.432
Hg1 0.500 0.582 0.165
Tm1 0.000 0.826 0.653
Ni2 0.500 0.284 0.568
Hg2 0.000 0.000 0.000
Hg3 0.500 0.418 0.835
Tm2 0.000 0.174 0.347